# 1
EuIO, single point on PBEsol structure, DFT SCAN; calculated total energy = -34.578 eV/atom; SG = No. 129
1.0
-1.748 -3.501 -0.738
2.149 -1.685 2.899
-6.554 2.003 6.021
Eu I O
2 2 2
Direct
0.000 0.500 0.123
0.500 0.000 0.877
0.000 0.500 0.668
0.500 0.000 0.332
0.000 0.000 0.000
0.500 0.500 0.000

# 2
EuI3O9, single point on PBEsol structure, DFT SCAN; calculated total energy = -17.872 eV/atom; SG = No. 14
1.0
5.771 0.000 0.000
0.000 8.743 -0.015
0.000 -1.792 14.889
Eu I O
4 12 36
Direct
0.264 0.460 0.597
0.236 0.960 0.097
0.764 0.040 0.903
0.736 0.540 0.403
0.354 0.839 0.478
0.901 0.883 0.297
0.401 0.617 0.203
0.814 0.723 0.653
0.599 0.383 0.797
0.314 0.777 0.847
0.146 0.339 0.978
0.646 0.161 0.522
0.686 0.223 0.153
0.099 0.117 0.703
0.854 0.661 0.022
0.186 0.277 0.347
0.423 0.646 0.513
0.073 0.368 0.456
0.385 0.436 0.326
0.194 0.910 0.255
0.997 0.261 0.630
0.528 0.783 0.376
0.097 0.945 0.619
0.900 0.418 0.053
0.903 0.055 0.381
0.427 0.868 0.956
0.064 0.648 0.710
0.600 0.918 0.553
0.306 0.410 0.755
0.436 0.148 0.210
0.028 0.717 0.124
0.115 0.936 0.826
0.003 0.739 0.370
0.885 0.064 0.174
0.077 0.146 0.013
0.497 0.239 0.870
0.403 0.445 0.119
0.564 0.852 0.790
0.806 0.090 0.745
0.573 0.132 0.044
0.972 0.283 0.876
0.100 0.582 0.947
0.597 0.555 0.881
0.615 0.564 0.674
0.936 0.352 0.290
0.503 0.761 0.130
0.400 0.082 0.447
0.923 0.854 0.987
0.694 0.590 0.245
0.927 0.632 0.544
0.577 0.354 0.487
0.472 0.217 0.624

# 3
Eu3In, single point on PBEsol structure, DFT SCAN; calculated total energy = -48.988 eV/atom; SG = No. 194
1.0
-1.528 2.413 4.841
-5.098 -4.888 0.827
6.502 -1.165 2.633
Eu In
6 2
Direct
0.250 0.652 0.826
0.250 0.174 0.348
0.250 0.174 0.826
0.750 0.348 0.174
0.750 0.826 0.652
0.750 0.826 0.174
0.750 0.333 0.667
0.250 0.667 0.333

# 4
EuIn8Ir2, single point on PBEsol structure, DFT SCAN; calculated total energy = -42.454 eV/atom; SG = No. 55
1.0
4.332 0.000 0.000
0.000 13.768 0.000
0.000 0.000 16.136
Eu In Ir
4 32 8
Direct
0.000 0.845 0.181
0.000 0.155 0.819
0.000 0.345 0.319
0.000 0.655 0.681
0.500 0.519 0.366
0.500 0.481 0.634
0.500 0.019 0.134
0.500 0.981 0.866
0.500 0.669 0.124
0.500 0.331 0.876
0.500 0.169 0.376
0.500 0.831 0.624
0.500 0.742 0.322
0.500 0.258 0.678
0.500 0.242 0.178
0.500 0.758 0.822
0.500 0.831 0.013
0.500 0.169 0.987
0.500 0.331 0.487
0.500 0.669 0.513
0.500 0.950 0.315
0.500 0.050 0.685
0.500 0.450 0.185
0.500 0.550 0.815
0.000 0.603 0.248
0.000 0.397 0.752
0.000 0.103 0.252
0.000 0.897 0.748
0.000 0.841 0.456
0.000 0.159 0.544
0.000 0.341 0.044
0.000 0.659 0.956
0.500 0.500 0.000
0.500 0.000 0.500
0.000 0.500 0.500
0.000 0.000 0.000
0.000 0.535 0.097
0.000 0.465 0.903
0.000 0.035 0.403
0.000 0.965 0.597
0.000 0.655 0.405
0.000 0.345 0.595
0.000 0.155 0.095
0.000 0.845 0.905

# 5
EuIn4Ir, single point on PBEsol structure, DFT SCAN; calculated total energy = -43.538 eV/atom; SG = No. 63
1.0
4.441 0.000 0.000
0.000 7.353 0.000
-2.221 0.000 8.394
Eu In Ir
2 8 2
Direct
0.627 0.750 0.254
0.373 0.250 0.746
0.816 0.952 0.633
0.184 0.048 0.367
0.816 0.548 0.633
0.184 0.452 0.367
0.433 0.750 0.865
0.567 0.250 0.135
0.000 0.000 0.000
0.000 0.500 0.000
0.274 0.750 0.549
0.726 0.250 0.451

# 6
EuIn2Pd, single point on PBEsol structure, DFT SCAN; calculated total energy = -39.039 eV/atom; SG = No. 63
1.0
4.490 0.000 0.000
-2.245 5.189 0.000
0.000 0.000 7.747
Eu In Pd
2 4 2
Direct
0.932 0.865 0.250
0.068 0.135 0.750
0.356 0.712 0.947
0.644 0.288 0.053
0.356 0.712 0.553
0.644 0.288 0.447
0.784 0.568 0.750
0.216 0.432 0.250

# 7
Eu2InPd2, single point on PBEsol structure, DFT SCAN; calculated total energy = -42.058 eV/atom; SG = No. 15
1.0
-2.405 -4.607 2.467
3.583 -0.698 -4.517
5.159 0.698 6.332
Eu Pd In
4 4 2
Direct
0.205 0.704 0.352
0.501 0.296 0.148
0.795 0.296 0.648
0.499 0.704 0.852
0.998 0.270 0.002
0.728 0.730 0.498
0.002 0.730 0.998
0.272 0.270 0.502
0.845 0.000 0.250
0.155 0.000 0.750

# 8
EuIn4Pd, single point on PBEsol structure, DFT SCAN; calculated total energy = -37.236 eV/atom; SG = No. 63
1.0
-2.115 3.926 -0.776
-4.891 -1.637 5.047
5.849 1.774 6.244
Eu In Pd
2 8 2
Direct
0.123 0.750 0.246
0.877 0.250 0.754
0.500 0.500 0.000
0.500 0.000 0.000
0.683 0.046 0.366
0.317 0.954 0.634
0.317 0.546 0.634
0.683 0.454 0.366
0.066 0.250 0.132
0.934 0.750 0.868
0.222 0.250 0.445
0.778 0.750 0.555